A PBEsol-optimized structure of ScZnIn. Source: Alexandria, functional SCAN.

Geometry as POSCAR:
```
ScZnIn
1.0
3.247 0.000 0.000
0.000 4.530 0.000
0.000 -2.265 3.923
Sc In Zn
1 1 1
Cartesian
0.000 0.000 2.616
1.623 0.000 0.000
1.623 2.265 1.308
```

Summary:
Space group ... P-6m2 (187)
Formation enthalpy at 0 K ... -1.4 eV per formula unit